[1]
Crystalline HIr2PtPb at its relaxed geometry. Source: Alexandria via LeMat-Bulk, functional PBE-GGA.

Values from the calculation:
Space group: P4/mmm, No. 123

abc: 5.1074 5.1074 3.2642
angles: 90.00 90.00 90.00
With the nearest neighbours (Å) after each atom.
Atoms (fractional coordinates):
H (0.0000, 0.0000, 0.0000)  2 Pb 1.63
Ir (0.0000, 0.5000, 0.5000)  2 Pb 2.55
Ir (0.5000, 0.0000, 0.5000)  2 Pb 2.55
Pt (0.5000, 0.5000, 0.0000)  8 Ir 3.03, 2 Pt 3.26
Pb (0.0000, 0.0000, 0.5000)  2 H 1.63

=====

[2]
Crystalline H2IrPtPb at its relaxed geometry. Source: Alexandria via LeMat-Bulk, functional PBE-GGA.

Values from the calculation:
Space group: P4/mmm, No. 123

abc: 3.7522 3.7522 5.3169
angles: 90.00 90.00 90.00
With the nearest neighbours (Å) after each atom.
Atoms (fractional coordinates):
H (0.0000, 0.5000, 0.0000)  2 Ir 1.88
H (0.5000, 0.0000, 0.0000)  2 Ir 1.88
Ir (0.0000, 0.0000, 0.0000)  4 H 1.88
Pt (0.0000, 0.0000, 0.5000)  4 Pb 2.65, 2 Ir 2.66
Pb (0.5000, 0.5000, 0.5000)  4 Pt 2.65

=====

no.,E_tot (eV per atom)
1,-4.7068
2,-4.6861